# 1
VASP calculation (PBE-GGA) on crystalline Zr2Zn3Cd at its relaxed geometry.

Unit cell a=4.124 b=3.480 c=8.681 alpha=101.56 beta=103.74 gamma=90.00
Sites, in units of the cell vectors:
Zr 0.140 0.140 0.280
Zr 0.850 0.350 0.699
Zn 0.710 0.710 0.420
Zn 0.564 0.564 0.129
Zn 0.287 0.787 0.575
Cd 0.449 0.949 0.897

Properties
- formation energy (eV per atom) = -0.051
- electronic total energy (eV/cell) = -22.141
- M_tot (μB per cell) = 0.00
- DOS at the Fermi energy (states/eV/f.u.) = 4.0

# 2
VASP calculation (PBE-GGA) on crystalline Cs2ScPF6 at its relaxed geometry.

Unit cell a=5.873 b=5.873 c=7.186 alpha=65.88 beta=65.88 gamma=90.00
Sites, in units of the cell vectors:
Cs 0.750 0.250 0.500
Cs 0.250 0.750 0.500
Sc 0.000 0.000 0.000
F 0.171 0.171 0.658
F 0.829 0.829 0.342
F 0.247 0.247 0.000
F 0.753 0.753 0.000
F 0.753 0.247 0.000
F 0.247 0.753 0.000
P 0.500 0.500 0.000

Properties
- electronic total energy (eV/cell) = -52.042
- M_tot (μB per cell) = 0.00
- uncorrected formation energy (eV/atom) = -2.74
- DOS at the Fermi energy (states/eV/f.u.) = 0.0

# 3
VASP calculation (PBE-GGA) on crystalline PmHfSiO6 at its relaxed geometry.

Unit cell a=4.987 b=5.158 c=5.158 alpha=120.00 beta=90.00 gamma=90.00
Site moments in Bohr magnetons follow the coordinates.
Sites, in units of the cell vectors:
Pm 0.000 0.333 0.667  0.00
Hf 0.500 0.667 0.333  -0.01
Si 0.500 0.000 0.000  -0.01
O 0.707 0.719 0.706  0.15
O 0.707 0.294 0.013  0.15
O 0.707 0.987 0.281  0.15
O 0.293 0.294 0.281  0.15
O 0.293 0.719 0.013  0.15
O 0.293 0.987 0.706  0.15

Properties
- electronic total energy (eV/cell) = -75.749
- M_tot (μB per cell) = 1.06
- uncorrected formation energy (eV/atom) = -2.87
- DOS at the Fermi energy (states/eV/f.u.) = 5.7

- Look up the M_tot of the second one.
  0.00 μB per cell

- Among the records above, which one has the highest M_tot?
  PmHfSiO6

- Which of these has the highest M_tot?
  PmHfSiO6

- Among the records above, which one has the lowest DOS at the Fermi energy?
  Cs2ScPF6